No. 1
Density functional theory data (GGA-PBE) for a relaxed structure of NaNbBi2.

The calculated formation energy is 0.06 eV/atom. As for the offset from the most stable computed form: 0.071 eV/atom. The total moment comes out at 0.00 μB per cell. For the total energy, the calculation gives -4.73 eV per atom.

The structure belongs to space group R-3m (No. 166, hexagonal axes); the cell edges are 3.6067, 3.6067 and 31.2975 Å and the angles 90.00°, 90.00° and 120.00°. Symmetry generates all atoms from Na at (0.0000, 0.0000, 0.0000), Nb at (0.0000, 0.0000, 0.5000) and Bi at (0.0000, 0.0000, 0.1006).

***

No. 2
Density functional theory data (GGA-PBE) for a relaxed structure of CaNpOs.

The calculated formation energy is 0.27 eV/atom. The total moment comes out at 21.91 μB per cell. For the total energy, the calculation gives -8.46 eV per atom.

The structure belongs to space group C2/m (No. 12); the cell edges are 17.624, 4.257 and 7.958 Å and the angles 90.00°, 94.59° and 90.00°. Symmetry generates all atoms from Ca at (0.038, 0.000, 0.194), Ca at (0.091, 0.500, 0.596), Np at (0.200, 0.000, 0.942), Np at (0.232, 0.000, 0.418), Os at (0.110, 0.500, 0.967) and Os at (0.171, 0.500, 0.267).

***

No. 3
Density functional theory data (GGA-PBE) for a relaxed structure of Tb6Sm2ErSc.

The calculated formation energy is 0.12 eV/atom. The total moment comes out at 0.00 μB per cell. For the total energy, the calculation gives -4.69 eV per atom.

The structure belongs to space group C2/c (No. 15); the cell edges are 9.027, 14.876 and 9.554 Å and the angles 90.00°, 98.42° and 90.00°. Symmetry generates all atoms from Tb at (0.062, 0.188, 0.444), Tb at (0.102, 0.395, 0.617), Tb at (0.211, 0.219, 0.809), Sm at (0.249, 0.051, 0.045), Er at (0.000, 0.019, 0.750) and Sc at (0.000, 0.411, 0.250).

***

No. 4
Density functional theory data (GGA-PBE) for a relaxed structure of Tb5Ho12Cd2.

The calculated formation energy is 0.05 eV/atom. The total moment comes out at 0.00 μB per cell. For the total energy, the calculation gives -4.16 eV per atom.

The structure belongs to space group C2/m (No. 12); the cell edges are 15.499, 9.191 and 8.207 Å and the angles 90.00°, 91.35° and 90.00°. Symmetry generates all atoms from Tb at (0.000, 0.000, 0.000), Tb at (0.197, 0.500, 0.508), Tb at (0.235, 0.000, 0.080), Ho at (0.055, 0.500, 0.823), Ho at (0.084, 0.000, 0.387), Ho at (0.126, 0.306, 0.166), Ho at (0.150, 0.184, 0.740) and Cd at (0.000, 0.321, 0.500).

***

No. 5
Density functional theory data (GGA-PBE) for a relaxed structure of BeAlIr2C.

The calculated formation energy is 1.37 eV/atom. The total moment comes out at 0.00 μB per cell. For the total energy, the calculation gives -5.51 eV per atom.

The structure belongs to space group P4/mmm (No. 123); the cell edges are 4.100, 4.100 and 4.050 Å and the angles 90.00°, 90.00° and 90.00°. Symmetry generates all atoms from Be at (0.000, 0.000, 0.000), Al at (0.000, 0.000, 0.500), Ir at (0.000, 0.500, 0.000) and C at (0.500, 0.500, 0.500).

***

No. 6
Density functional theory data (GGA-PBE) for a relaxed structure of TlNi2Au2.

The calculated formation energy is 0.28 eV/atom. As for the offset from the most stable computed form: 0.142 eV/atom. The total moment comes out at 1.84 μB per cell. For the total energy, the calculation gives -3.82 eV per atom.

The structure belongs to space group I4/mmm (No. 139); the cell edges are 3.631, 3.631 and 13.784 Å and the angles 90.00°, 90.00° and 90.00°. Symmetry generates all atoms from Tl at (0.000, 0.000, 0.000), Ni at (0.000, 0.500, 0.250) and Au at (0.000, 0.000, 0.386).

***

No. 7
Density functional theory data (GGA-PBE) for a relaxed structure of PrZnGa2.

The calculated formation energy is -0.54 eV/atom. The total moment comes out at 0.00 μB per cell. For the total energy, the calculation gives -3.57 eV per atom.

The structure belongs to space group Pnma (No. 62); the cell edges are 14.207, 4.280 and 11.061 Å and the angles 90.00°, 90.00° and 90.00°. Symmetry generates all atoms from Pr at (0.047, 0.250, 0.247), Pr at (0.203, 0.750, 0.530), Zn at (0.055, 0.250, 0.951), Zn at (0.208, 0.750, 0.827), Ga at (0.033, 0.250, 0.537), Ga at (0.117, 0.250, 0.734), Ga at (0.130, 0.750, 0.039) and Ga at (0.205, 0.750, 0.245).

***

No. 8
Density functional theory data (GGA-PBE) for a relaxed structure of AcTlBi2.

The calculated formation energy is -0.47 eV/atom. As for the offset from the most stable computed form: 0.036 eV/atom. The total moment comes out at 0.00 μB per cell. For the total energy, the calculation gives -4.03 eV per atom.

The structure belongs to space group Cmcm (No. 63); the cell edges are 7.080, 12.215 and 6.330 Å and the angles 90.00°, 90.00° and 90.00°. Symmetry generates all atoms from Ac at (0.000, 0.152, 0.250), Tl at (0.000, 0.368, 0.750) and Bi at (0.233, 0.105, 0.750).

***

No. 9
Density functional theory data (GGA-PBE) for a relaxed structure of TiRe2GeP.

The calculated formation energy is 0.57 eV/atom. The total moment comes out at 0.00 μB per cell. For the total energy, the calculation gives -7.99 eV per atom.

The structure belongs to space group P4/mmm (No. 123); the cell edges are 4.407, 4.407 and 4.437 Å and the angles 90.00°, 90.00° and 90.00°. Symmetry generates all atoms from Ti at (0.000, 0.000, 0.000), Re at (0.000, 0.500, 0.500), Ge at (0.500, 0.500, 0.000) and P at (0.000, 0.000, 0.500).

***

No. 10
Density functional theory data (GGA-PBE) for a relaxed structure of RbInN3.

The total moment comes out at 7.00 μB per cell. For the total energy, the calculation gives -3.04 eV per atom. The uncorrected formation energy is 2.70 eV/atom.

The structure belongs to space group Pm-3m (No. 221); the cell edges are 5.032, 5.032 and 5.032 Å and the angles 90.00°, 90.00° and 90.00°. Symmetry generates all atoms from Rb at (0.000, 0.000, 0.000), In at (0.500, 0.500, 0.500) and N at (0.000, 0.000, 0.500).

***

No. 11
Density functional theory data (GGA-PBE) for a relaxed structure of NaZn5Pd6.

The calculated formation energy is -0.47 eV/atom. The total moment comes out at 0.00 μB per cell. For the total energy, the calculation gives -3.70 eV per atom.

The structure belongs to space group P2/m (No. 10); the cell edges are 4.236, 6.631 and 6.686 Å and the angles 90.00°, 108.41° and 90.00°. Symmetry generates all atoms from Na at (0.000, 0.000, 0.000), Zn at (0.000, 0.500, 0.000), Zn at (0.335, 0.000, 0.670), Zn at (0.335, 0.500, 0.669), Pd at (0.171, 0.257, 0.342) and Pd at (0.500, 0.265, 0.000).

***

No. 12
Density functional theory data (GGA-PBE) for a relaxed structure of LiNb2Br2.

As for the offset from the most stable computed form: 0.000 eV/atom. The total moment comes out at 0.00 μB per cell. For the total energy, the calculation gives -4.91 eV per atom. The uncorrected formation energy is 0.17 eV/atom.

The structure belongs to space group I4/mmm (No. 139); the cell edges are 4.135, 4.135 and 13.538 Å and the angles 90.00°, 90.00° and 90.00°. Symmetry generates all atoms from Li at (0.000, 0.000, 0.000), Nb at (0.000, 0.500, 0.250) and Br at (0.000, 0.000, 0.378).

***

- total moment of number 7 (PrZnGa2)?
  0.00 μB per cell

***

Copy entry 1 word for word.
Density functional theory data (GGA-PBE) for a relaxed structure of NaNbBi2.

The calculated formation energy is 0.06 eV/atom. As for the offset from the most stable computed form: 0.071 eV/atom. The total moment comes out at 0.00 μB per cell. For the total energy, the calculation gives -4.73 eV per atom.

The structure belongs to space group R-3m (No. 166, hexagonal axes); the cell edges are 3.6067, 3.6067 and 31.2975 Å and the angles 90.00°, 90.00° and 120.00°. Symmetry generates all atoms from Na at (0.0000, 0.0000, 0.0000), Nb at (0.0000, 0.0000, 0.5000) and Bi at (0.0000, 0.0000, 0.1006).